Material: Cs3CrO3
Method: DFT, GGA+U
State: relaxed

Cell: 7.2542 8.1133 11.7483 Å, 95.66 90.00 90.00°
Positions (direct):
Cs (0.6712, 0.6633, 0.5715)
Cs (0.1742, 0.6166, 0.6893)
Cs (0.1712, 0.3367, 0.9285)
Cs (0.8727, 0.9580, 0.8356)
Cs (0.3258, 0.6166, 0.1893)
Cs (0.8288, 0.6633, 0.0715)
Cs (0.6742, 0.3834, 0.8107)
Cs (0.1273, 0.0420, 0.1644)
Cs (0.6273, 0.9580, 0.3356)
Cs (0.3727, 0.0420, 0.6644)
Cs (0.3288, 0.3367, 0.4285)
Cs (0.8258, 0.3834, 0.3107)
Cr (0.5883, 0.1541, 0.0640)
Cr (0.0883, 0.8459, 0.4360)
Cr (0.9117, 0.1541, 0.5640)
Cr (0.4117, 0.8459, 0.9360)
O (0.8130, 0.2639, 0.0399)
O (0.1870, 0.7361, 0.9601)
O (0.5327, 0.7450, 0.8065)
O (0.0327, 0.2550, 0.6935)
O (0.6870, 0.2639, 0.5399)
O (0.5156, 0.9032, 0.0858)
O (0.4673, 0.2550, 0.1935)
O (0.3130, 0.7361, 0.4601)
O (0.4844, 0.0968, 0.9142)
O (0.9673, 0.7450, 0.3065)
O (0.0156, 0.0968, 0.4142)
O (0.9844, 0.9032, 0.5858)

The calculation puts the calculated density at 4.814 g/cm3. Its electronic total energy is -34.585 eV per formula unit.